Material: DyY3Pd4
Method: DFT, PBE
State: optimized geometry

a = 3.444 Å, b = 5.021 Å, c = 10.041 Å
α = 90.00°, β = 90.00°, γ = 90.00°
Element x y z (fractional)
Y: 0.500 0.000 0.250
Y: 0.500 0.000 0.750
Y: 0.500 0.500 0.500
Dy: 0.500 0.500 0.000
Pd: 0.000 0.500 0.248
Pd: 0.000 0.500 0.752
Pd: 0.000 0.000 0.000
Pd: 0.000 0.000 0.500

Summary:
D(E_F), states/eV per atom: 0.46
Magnetization, μB per atom: 0.00
Crystal system: orthorhombic
SG: Pmmm
Volume, Å³ per atom: 21.7
Total energy, eV/atom: -6.4768

***

Material: DyY4Pd2
Method: DFT, PBE
State: optimized geometry

a = 6.430 Å, b = 7.923 Å, c = 7.927 Å
α = 109.88°, β = 90.00°, γ = 90.00°
Element x y z (fractional)
Y: 0.500 0.700 0.200
Y: 0.250 0.945 0.925
Y: 0.250 0.575 0.554
Y: 0.000 0.700 0.200
Y: 0.000 0.300 0.800
Y: 0.750 0.055 0.075
Y: 0.500 0.300 0.800
Y: 0.750 0.425 0.446
Pd: 0.250 0.933 0.568
Pd: 0.250 0.361 0.139
Pd: 0.750 0.067 0.432
Pd: 0.750 0.639 0.861
Dy: 0.250 0.142 0.358
Dy: 0.750 0.858 0.642

Summary:
D(E_F), states/eV per atom: 1.26
Magnetization, μB per atom: 0.00
Crystal system: orthorhombic
SG: Cmcm
Volume, Å³ per atom: 27.1
Relative energy among the computed polymorphs, meV per atom: 3
Total energy, eV/atom: -6.1795

***

Material: DyY2Pd9
Method: DFT, PBE
State: optimized geometry

a = 4.131 Å, b = 4.131 Å, c = 12.393 Å
α = 90.00°, β = 90.00°, γ = 90.00°
Element x y z (fractional)
Pd: 0.500 0.000 0.500
Pd: 0.500 0.500 0.333
Pd: 0.500 0.000 0.834
Pd: 0.500 0.000 0.166
Pd: 0.000 0.500 0.500
Pd: 0.500 0.500 0.667
Pd: 0.000 0.500 0.834
Pd: 0.000 0.500 0.166
Pd: 0.500 0.500 0.000
Y: 0.000 0.000 0.333
Y: 0.000 0.000 0.667
Dy: 0.000 0.000 0.000

Summary:
D(E_F), states/eV per atom: 0.72
Magnetization, μB per atom: 0.00
Crystal system: tetragonal
SG: P4/mmm
Volume, Å³ per atom: 17.6
Total energy, eV/atom: -6.2077

***

Material: DyY5Pd6
Method: DFT, PBE
State: optimized geometry

a = 5.022 Å, b = 6.925 Å, c = 7.912 Å
α = 90.00°, β = 71.50°, γ = 90.00°
Element x y z (fractional)
Pd: 0.834 0.751 0.331
Pd: 0.500 0.752 0.000
Pd: 0.834 0.249 0.331
Pd: 0.166 0.751 0.669
Pd: 0.500 0.248 0.000
Pd: 0.166 0.249 0.669
Y: 0.667 0.000 0.666
Y: 0.667 0.500 0.666
Y: 0.000 0.500 0.000
Y: 0.333 0.000 0.334
Y: 0.333 0.500 0.334
Dy: 0.000 0.000 0.000

Summary:
D(E_F), states/eV per atom: 0.68
Magnetization, μB per atom: 0.00
Crystal system: orthorhombic
SG: Cmmm
Volume, Å³ per atom: 21.7
Total energy, eV/atom: -6.5487

***

Material: Dy3YPd2
Method: DFT, PBE
State: optimized geometry

a = 5.199 Å, b = 9.721 Å, c = 8.173 Å
α = 127.63°, β = 90.00°, γ = 105.51°
Element x y z (fractional)
Pd: 0.514 0.028 0.851
Pd: 0.221 0.442 0.808
Pd: 0.779 0.558 0.192
Pd: 0.486 0.972 0.149
Dy: 0.378 0.755 0.273
Dy: 0.681 0.362 0.362
Dy: 0.066 0.131 0.370
Dy: 0.319 0.638 0.638
Dy: 0.622 0.245 0.727
Dy: 0.934 0.869 0.630
Y: 0.155 0.309 0.062
Y: 0.845 0.691 0.938

Summary:
D(E_F), states/eV per atom: 0.89
Magnetization, μB per atom: 0.00
Crystal system: monoclinic
SG: C2/m
Volume, Å³ per atom: 25.7
Relative energy among the computed polymorphs, meV per atom: 85
Total energy, eV/atom: -5.6216

***

Material: Dy3Y3Pd4
Method: DFT, PBE
State: optimized geometry

a = 3.997 Å, b = 7.780 Å, c = 7.780 Å
α = 89.85°, β = 90.00°, γ = 90.00°
Element x y z (fractional)
Dy: 0.500 0.164 0.836
Dy: 0.000 0.000 0.500
Dy: 0.000 0.500 0.000
Y: 0.500 0.665 0.665
Y: 0.500 0.335 0.335
Y: 0.500 0.835 0.165
Pd: 0.000 0.869 0.866
Pd: 0.000 0.365 0.635
Pd: 0.000 0.633 0.367
Pd: 0.000 0.134 0.131

Summary:
D(E_F), states/eV per atom: 0.86
Magnetization, μB per atom: 0.00
Crystal system: orthorhombic
SG: Amm2
Volume, Å³ per atom: 24.2
Total energy, eV/atom: -6.1229

***

Material: Dy3Y2Pd2
Method: DFT, PBE
State: optimized geometry

a = 3.748 Å, b = 6.456 Å, c = 9.043 Å
α = 115.47°, β = 90.00°, γ = 106.87°
Element x y z (fractional)
Pd: 0.832 0.663 0.764
Pd: 0.168 0.337 0.236
Dy: 0.500 0.000 0.000
Dy: 0.614 0.228 0.441
Dy: 0.386 0.772 0.559
Y: 0.156 0.312 0.812
Y: 0.844 0.688 0.188

Summary:
D(E_F), states/eV per atom: 1.26
Magnetization, μB per atom: 0.00
Crystal system: monoclinic
SG: C2/m
Volume, Å³ per atom: 26.7
Total energy, eV/atom: -5.8316

***

Material: DyY2Pd
Method: DFT, PBE
State: optimized geometry

a = 3.736 Å, b = 3.736 Å, c = 9.800 Å
α = 79.01°, β = 79.01°, γ = 60.00°
Site moments in Bohr magnetons follow the coordinates.
Element x y z (fractional)
Dy: 0.501 0.501 0.497  0.17
Y: 0.267 0.267 0.198  0.03
Y: 0.066 0.066 0.803  0.01
Pd: 0.666 0.666 0.001  0.00

Summary:
D(E_F), states/eV per atom: 1.29
Magnetization, μB per atom: 0.08
Crystal system: trigonal
SG: R3m
Volume, Å³ per atom: 28.9
Relative energy among the computed polymorphs, meV per atom: 183
Total energy, eV/atom: -5.9687

***

Material: DyY4Pd5
Method: DFT, PBE
State: optimized geometry

a = 3.483 Å, b = 3.483 Å, c = 17.919 Å
α = 90.00°, β = 90.00°, γ = 90.00°
Element x y z (fractional)
Pd: 0.500 0.500 0.902
Pd: 0.500 0.500 0.500
Pd: 0.500 0.500 0.300
Pd: 0.500 0.500 0.098
Pd: 0.500 0.500 0.700
Y: 0.000 0.000 0.600
Y: 0.000 0.000 0.800
Y: 0.000 0.000 0.200
Y: 0.000 0.000 0.400
Dy: 0.000 0.000 0.000

Summary:
D(E_F), states/eV per atom: 0.79
Magnetization, μB per atom: 0.00
Crystal system: tetragonal
SG: P4/mmm
Volume, Å³ per atom: 21.7
Total energy, eV/atom: -6.5133

***

Material: Dy2Y2Pd
Method: DFT, PBE
State: optimized geometry

a = 7.641 Å, b = 7.049 Å, c = 7.804 Å
α = 73.29°, β = 57.96°, γ = 57.18°
Element x y z (fractional)
Y: 0.994 0.567 0.751
Y: 0.439 0.567 0.249
Y: 0.561 0.433 0.751
Y: 0.006 0.433 0.249
Dy: 0.625 0.000 0.117
Dy: 0.856 0.000 0.390
Dy: 0.375 0.000 0.883
Dy: 0.144 0.000 0.610
Pd: 0.120 0.761 0.000
Pd: 0.880 0.239 0.000

Summary:
D(E_F), states/eV per atom: 1.50
Magnetization, μB per atom: 0.00
Crystal system: monoclinic
SG: C2/m
Volume, Å³ per atom: 29.9
Total energy, eV/atom: -5.7263

***

Material: DyY2Pd
Method: DFT, PBE
State: optimized geometry

a = 3.751 Å, b = 6.443 Å, c = 9.482 Å
α = 90.00°, β = 90.00°, γ = 106.95°
Element x y z (fractional)
Dy: 0.068 0.135 0.750
Dy: 0.932 0.865 0.250
Y: 0.365 0.731 0.562
Y: 0.365 0.731 0.938
Y: 0.635 0.269 0.062
Y: 0.635 0.269 0.438
Pd: 0.242 0.484 0.250
Pd: 0.758 0.516 0.750

Summary:
D(E_F), states/eV per atom: 1.44
Magnetization, μB per atom: 0.00
Crystal system: orthorhombic
SG: Cmcm
Volume, Å³ per atom: 27.4
Relative energy among the computed polymorphs, meV per atom: 26
Total energy, eV/atom: -6.1261

***

Material: DyY4Pd
Method: DFT, PBE
State: optimized geometry

a = 6.127 Å, b = 9.363 Å, c = 8.021 Å
α = 116.62°, β = 100.06°, γ = 110.80°
Element x y z (fractional)
Pd: 0.749 0.999 0.998
Pd: 0.251 0.001 0.002
Dy: 0.647 0.397 0.794
Dy: 0.353 0.603 0.206
Y: 0.381 0.935 0.650
Y: 0.231 0.285 0.350
Y: 0.619 0.065 0.350
Y: 0.261 0.629 0.802
Y: 0.959 0.827 0.198
Y: 0.739 0.371 0.198
Y: 0.041 0.173 0.802
Y: 0.769 0.715 0.650

Summary:
D(E_F), states/eV per atom: 1.36
Magnetization, μB per atom: 0.00
Crystal system: monoclinic
SG: C2/c
Volume, Å³ per atom: 29.4
Total energy, eV/atom: -6.1400